Density functional theory data (GGA-PBE) for ReNi2GeSb after structural relaxation.

Cell lengths 4.6200, 4.7386, 4.6200 Å; angles 90.00, 90.00, 90.00 degrees
Closest atoms and distances in Å follow each position.
Positions (direct):
1 Re 0.0000 0.0000 0.0000  4 Ni 2.31, 2 Ge 2.37
2 Ge 0.0000 0.5000 0.0000  2 Re 2.37
3 Ni 0.0000 0.0000 0.5000  2 Re 2.31
4 Ni 0.5000 0.0000 0.0000  2 Re 2.31
5 Sb 0.5000 0.5000 0.5000  4 Ge 3.27, 8 Ni 3.31

E in eV/atom: -5.595
Space group: P4/mmm (123)
Formation energy from raw total energies in kJ/mol of formula units: 461